# Co3BiC9O9

An optimized crystal structure of Co3BiC9O9 (PBE+U, OQMD via LeMat-Bulk).

It has space group P6_3mc (No. 186), with a = 10.5787 Å, b = 10.5787 Å, c = 6.9575 Å, α = 90.00°, β = 90.00° and γ = 120.00°. The inequivalent atoms are Co at (0.2533, 0.5067, 0.0000), Bi at (0.3333, 0.6667, 0.6855), C at (0.0987, 0.5494, 0.0142), C at (0.1784, 0.3568, 0.8465), C at (0.2117, 0.4234, 0.2258), O at (0.0300, 0.5150, 0.5284), O at (0.1237, 0.2475, 0.7623) and O at (0.1820, 0.3640, 0.3726).

The total energy comes out at -315.2 eV/cell. For the mass density, the calculation gives 3.1 g/cm3. As for the crystal system: hexagonal.